# PBE AlFe, relaxed
# * DFT total energy: -6.35 eV/atom
# * crystal system: monoclinic
# * density of states at the Fermi level: 4.4 states/eV per cell
# * ΔH_f (0 K): -0.250 eV per atom
# * density: 5.43 g/cm³
data_AlFe
_symmetry_space_group_name_H-M 'P 1'
_symmetry_Int_Tables_number 1
_cell_length_a 4.741
_cell_length_b 4.741
_cell_length_c 5.885
_cell_angle_alpha 107.76
_cell_angle_beta 107.76
_cell_angle_gamma 37.36
loop_
_symmetry_equiv_pos_as_xyz
'x,y,z'
loop_
_atom_site_label
_atom_site_fract_x
_atom_site_fract_y
_atom_site_fract_z
Al1 0.000 0.000 0.000
Al2 0.008 0.008 0.537
Al3 0.693 0.693 0.353
Fe1 0.331 0.331 0.689
Fe2 0.356 0.356 0.188
Fe3 0.690 0.690 0.872